(1)
Material: LiZnP2Cl
Method: DFT, PBE
State: optimized geometry

Energy above the most stable polymorph in this dataset   317.3 meV/atom
Formation energy (no corrections)   0.557 eV/atom
Calculated density   3.0 g/cm³

Lattice parameters (Å, degrees): 4.498 4.498 4.624 90.00 90.00 90.00
Space group P4/mmm (No. 123)
Symmetry-distinct sites (fractional):
Li1 0.000 0.000 0.000 x1
Zn1 0.500 0.500 0.500 x1
P1 0.000 0.500 0.000 x2
Cl1 0.000 0.000 0.500 x1

=====

(2)
Material: LiZnP2Cl
Method: DFT, PBE
State: optimized geometry

Energy above the most stable polymorph in this dataset   0.0 meV/atom
Formation energy (no corrections)   0.240 eV/atom
Calculated density   2.3 g/cm³

Lattice parameters (Å, degrees): 4.550 4.550 5.826 90.00 90.00 90.00
Space group P4/mmm (No. 123)
Symmetry-distinct sites (fractional):
Li1 0.000 0.000 0.000 x1
Zn1 0.500 0.500 0.500 x1
P1 0.000 0.500 0.500 x2
Cl1 0.500 0.500 0.000 x1

=====

(3)
Material: LiZrPCl2
Method: DFT, PBE
State: optimized geometry

Energy above the most stable polymorph in this dataset   0.0 meV/atom
Formation energy (no corrections)   -0.907 eV/atom
Calculated density   2.5 g/cm³

Lattice parameters (Å, degrees): 5.096 5.096 5.085 90.00 90.00 90.00
Space group P4/mmm (No. 123)
Symmetry-distinct sites (fractional):
Li1 0.000 0.000 0.000 x1
Zr1 0.500 0.500 0.500 x1
P1 0.500 0.500 0.000 x1
Cl1 0.000 0.500 0.500 x2

=====

(4)
Material: LiZrPCl2
Method: DFT, PBE
State: optimized geometry

Energy above the most stable polymorph in this dataset   437.7 meV/atom
Formation energy (no corrections)   -0.469 eV/atom
Calculated density   3.5 g/cm³

Lattice parameters (Å, degrees): 4.204 4.204 5.346 90.00 90.00 90.00
Space group P4/mmm (No. 123)
Symmetry-distinct sites (fractional):
Li1 0.000 0.000 0.000 x1
Zr1 0.500 0.500 0.500 x1
P1 0.000 0.000 0.500 x1
Cl1 0.000 0.500 0.000 x2

=====

(5)
Material: Li2PaCl6
Method: DFT, PBE
State: optimized geometry

Formation energy (no corrections)   -1.845 eV/atom
Calculated density   3.3 g/cm³

Lattice parameters (Å, degrees): 6.279 6.279 11.670 90.00 90.00 90.00
Space group P4_2/mnm (No. 136)
Symmetry-distinct sites (fractional):
Li1 0.000 0.000 0.166 x4
Pa1 0.000 0.000 0.500 x2
Cl1 0.198 0.198 0.000 x4
Cl2 0.200 0.200 0.331 x8

=====

(6)
Material: LiPaCl2
Method: DFT, PBE
State: optimized geometry

Formation energy (no corrections)   -1.100 eV/atom
Calculated density   5.5 g/cm³

Lattice parameters (Å, degrees): 3.4543 3.4543 26.9486 90.00 90.00 120.00
Space group R-3m (No. 166, hexagonal axes)
Symmetry-distinct sites (fractional):
Li1 0.0000 0.0000 0.0000 x3
Pa1 0.0000 0.0000 0.5000 x3
Cl1 0.0000 0.0000 0.0909 x6